No. 1
A geometry-optimized Ti3Al3FeCu2 structure, computed with PBE-GGA.

Properties
The calculation puts the volume at 14.67 Å³ per atom. The density of states at the Fermi level comes out at 6.00 states/eV/f.u. Its formation enthalpy at 0 K is -2.91 eV/f.u. As for the symmetry: No. 189.

```
9
Lattice="2.960 0.000 0.000 0.000 7.177 0.000 0.000 -3.589 6.215" Properties=species:S:1:pos:R:3 pbc="T T T"
Ti 1.480 5.278 0.000
Ti 1.480 -2.639 4.571
Ti 1.480 0.950 1.645
Al 0.000 2.193 3.799
Al 0.000 -1.395 2.416
Al 0.000 2.790 0.000
Fe 0.000 0.000 0.000
Cu 1.480 3.589 2.072
Cu 1.480 0.000 4.144
```

No. 2
A geometry-optimized Ti2Al5FeCu2 structure, computed with PBE-GGA.

Properties
The calculation puts the volume at 14.52 Å³ per atom. The density of states at the Fermi level comes out at 4.91 states/eV/f.u. Its formation enthalpy at 0 K is -2.52 eV/f.u. As for the symmetry: No. 127.

```
20
Lattice="3.044 0.000 0.000 0.000 9.767 0.000 0.000 0.000 9.767" Properties=species:S:1:pos:R:3 pbc="T T T"
Ti 0.000 6.602 1.719
Ti 0.000 3.165 8.048
Ti 0.000 1.719 3.165
Ti 0.000 8.048 6.602
Al 1.522 1.877 0.471
Al 1.522 7.890 9.295
Al 1.522 0.471 7.890
Al 1.522 6.760 4.412
Al 1.522 9.295 1.877
Al 1.522 3.007 5.355
Al 1.522 5.355 6.760
Al 1.522 4.412 3.007
Al 1.522 4.883 0.000
Al 1.522 0.000 4.883
Fe 0.000 0.000 0.000
Fe 0.000 4.883 4.883
Cu 0.000 1.309 6.193
Cu 0.000 8.458 3.574
Cu 0.000 6.193 8.458
Cu 0.000 3.574 1.309
```

No. 3
A geometry-optimized AlZnFeCu structure, computed with PBE-GGA.

Properties
The calculation puts the volume at 12.69 Å³ per atom. The density of states at the Fermi level comes out at 2.57 states/eV/f.u. Its formation enthalpy at 0 K is -0.29 eV/f.u. As for the symmetry: No. 216.

```
4
Lattice="-2.201 2.861 2.059 -0.759 -0.485 4.057 1.873 2.464 2.773" Properties=species:S:1:pos:R:3 pbc="T T T"
Zn -0.543 2.420 4.444
Fe -0.815 3.630 6.667
Cu -0.272 1.210 2.222
Al 0.000 0.000 0.000
```

No. 4
A geometry-optimized ZrAlFeCu structure, computed with PBE-GGA.

Properties
The calculation puts the volume at 14.66 Å³ per atom. The density of states at the Fermi level comes out at 2.50 states/eV/f.u. Its formation enthalpy at 0 K is -0.94 eV/f.u. As for the symmetry: No. 216.

```
4
Lattice="-3.082 -1.095 2.884 1.130 -1.557 3.914 -0.606 2.429 3.571" Properties=species:S:1:pos:R:3 pbc="T T T"
Al -1.918 -0.168 7.777
Cu 0.000 0.000 0.000
Zr -0.639 -0.056 2.592
Fe -1.279 -0.112 5.185
```

No. 5
A geometry-optimized Al2GaCu structure, computed with PBE-GGA.

Properties
The calculation puts the volume at 16.11 Å³ per atom. The density of states at the Fermi level comes out at 1.22 states/eV/f.u. Its formation enthalpy at 0 K is -0.25 eV/f.u. As for the symmetry: No. 11.

```
8
Lattice="-1.598 0.047 -3.382 -3.327 -1.107 3.561 -1.520 7.193 0.817" Properties=species:S:1:pos:R:3 pbc="T T T"
Al -3.802 3.171 1.800
Al -2.642 2.961 -0.804
Al -4.412 6.057 2.128
Al -2.032 0.075 -1.132
Ga -4.873 0.852 0.178
Ga -1.571 5.280 0.818
Cu -4.147 4.838 -0.079
Cu -2.297 1.294 1.075
```

No. 6
A geometry-optimized Al2GaCu2 structure, computed with PBE-GGA.

Properties
The offset from the most stable computed form is 0 meV/atom. The calculation puts the volume at 15.13 Å³ per atom. The density of states at the Fermi level comes out at 0.98 states/eV/f.u. Its formation enthalpy at 0 K is -0.68 eV/f.u. As for the symmetry: No. 11.

```
10
Lattice="4.204 0.000 0.000 0.000 4.209 -0.059 0.000 0.120 8.549" Properties=species:S:1:pos:R:3 pbc="T T T"
Al 3.153 1.052 -0.013
Al 1.051 3.239 5.748
Al 1.051 3.278 8.503
Al 3.153 1.090 2.743
Ga 3.153 1.129 5.779
Ga 1.051 3.201 2.712
Cu 1.051 1.117 4.280
Cu 3.153 3.176 1.338
Cu 1.051 1.154 7.153
Cu 3.153 3.213 4.211
```

> The lowest formation enthalpy at 0 K belongs to which entry?

Ti3Al3FeCu2

> Among the records above, which one has the highest formation enthalpy at 0 K?

Al2GaCu